Crystalline La6Si2AgBr3 at its relaxed geometry. Source: Alexandria, functional PBE-GGA.

Calculated values
- size of the total moment (μB per formula unit) = 0.00
- space-group type = C2/m
- DFT total energy (eV/atom) = -5.02
- E_form (uncorrected) (eV/atom) = -0.9937

The structure in POSCAR format:
```
La6Si2AgBr3
1.0
4.3966 0.0000 0.0000
0.0000 8.8871 0.4015
-2.1983 -2.4723 9.2525
Br La Si Ag
3 6 2 1
direct
0.5000 0.5000 0.0000
0.1662 0.8343 0.3324
0.8338 0.1657 0.6676
0.0087 0.2527 0.0174
0.9913 0.7473 0.9826
0.3334 0.8912 0.6667
0.6728 0.5688 0.3457
0.3272 0.4312 0.6543
0.6666 0.1088 0.3333
0.1666 0.3353 0.3333
0.8334 0.6647 0.6667
0.5000 0.0000 0.0000
```

Crystalline ScAg2As at its relaxed geometry. Source: Alexandria, functional PBE-GGA.

Calculated values
- size of the total moment (μB per formula unit) = 0.00
- space-group type = R-3m
- DFT total energy (eV/atom) = -4.09
- formation enthalpy at 0 K (eV per atom) = 0.083

The structure in POSCAR format:
```
ScAg2As
1.0
-0.4771 -8.9348 -2.3186
0.9140 -7.7645 -4.9308
2.6772 -8.5178 -2.3906
Ag Sc As
2 1 1
direct
0.5015 0.5015 0.5015
0.9985 0.9985 0.9985
0.7500 0.7500 0.7500
0.2500 0.2500 0.2500
```

Crystalline KAs3Os at its relaxed geometry. Source: Alexandria, functional PBE-GGA.

Calculated values
- size of the total moment (μB per formula unit) = 0.00
- energy relative to the lowest polymorph listed for this composition (kJ/mol of formula units) = 0
- space-group type = Pm-3m
- DFT total energy (eV/atom) = -4.86
- formation enthalpy at 0 K (eV per atom) = 0.391

The structure in POSCAR format:
```
KAs3Os
1.0
4.9499 0.0000 0.0000
0.0000 4.9499 0.0000
0.0000 0.0000 4.9499
As Os K
3 1 1
direct
0.0000 0.0000 0.5000
0.5000 0.0000 0.0000
0.0000 0.5000 0.0000
0.0000 0.0000 0.0000
0.5000 0.5000 0.5000
```

Crystalline Na3AcP4O12 at its relaxed geometry. Source: Alexandria, functional PBE-GGA.

Calculated values
- size of the total moment (μB per formula unit) = 0.00
- space-group type = R32
- DFT total energy (eV/atom) = -6.47
- E_form (uncorrected) (eV/atom) = -2.0054

The structure in POSCAR format:
```
Na3AcP4O12
1.0
7.0402 0.0792 0.1100
-1.6194 6.8519 0.1100
-1.6194 -2.0706 6.5324
O Ac Na P
12 1 3 4
direct
0.5000 0.0894 0.9106
0.5000 0.3637 0.6363
0.3637 0.6363 0.5000
0.1793 0.3528 0.9573
0.6363 0.5000 0.3637
0.9573 0.1793 0.3528
0.9106 0.5000 0.0894
0.0894 0.9106 0.5000
0.6472 0.8207 0.0427
0.8207 0.0427 0.6472
0.3528 0.9573 0.1793
0.0427 0.6472 0.8207
0.0000 0.0000 0.0000
0.5509 0.4491 0.0000
0.0000 0.5509 0.4491
0.4491 0.0000 0.5509
0.5000 0.5000 0.5000
0.9525 0.0475 0.5000
0.0475 0.5000 0.9525
0.5000 0.9525 0.0475
```

Crystalline CdHNF2 at its relaxed geometry. Source: Alexandria, functional PBE-GGA.

Calculated values
- size of the total moment (μB per formula unit) = 3.98
- energy relative to the lowest polymorph listed for this composition (kJ/mol of formula units) = 227
- space-group type = P4/mmm
- DFT total energy (eV/atom) = -2.92

The structure in POSCAR format:
```
CdHNF2
1.0
-0.5703 4.0484 -1.4670
0.1829 -1.4557 -4.0884
-4.9388 -0.6872 0.0238
F Cd N H
2 1 1 1
direct
0.0000 0.5000 0.0000
0.5000 0.0000 0.0000
0.0000 0.0000 0.0000
0.0000 0.0000 0.5000
0.5000 0.5000 0.5000
```

Crystalline SmErSi2Pd5 at its relaxed geometry. Source: Alexandria, functional PBE-GGA.

Calculated values
- size of the total moment (μB per formula unit) = 0.00
- space-group type = P4/mmm
- DFT total energy (eV/atom) = -6.03
- E_form (uncorrected) (eV/atom) = -0.9102

The structure in POSCAR format:
```
SmErSi2Pd5
1.0
4.1924 0.0000 0.0000
0.0000 4.1924 0.0000
0.0000 0.0000 9.0016
Pd Er Sm Si
5 1 1 2
direct
0.0000 0.5000 0.2641
0.5000 0.0000 0.2641
0.0000 0.5000 0.7359
0.5000 0.5000 0.5000
0.5000 0.0000 0.7359
0.0000 0.0000 0.0000
0.0000 0.0000 0.5000
0.5000 0.5000 0.8701
0.5000 0.5000 0.1299
```

Crystalline CsHf2AgSn at its relaxed geometry. Source: Alexandria, functional PBE-GGA.

Calculated values
- size of the total moment (μB per formula unit) = 0.00
- space-group type = P4/mmm
- DFT total energy (eV/atom) = -3.40
- formation enthalpy at 0 K (eV per atom) = 2.126

The structure in POSCAR format:
```
CsHf2AgSn
1.0
5.3942 0.0000 0.0000
0.0000 5.3595 0.0000
0.0000 0.0000 5.3942
Cs Ag Hf Sn
1 1 2 1
direct
0.0000 0.0000 0.0000
0.0000 0.5000 0.0000
0.5000 0.0000 0.0000
0.0000 0.0000 0.5000
0.5000 0.5000 0.5000
```

Crystalline MgTa2O6 at its relaxed geometry. Source: Alexandria, functional PBE-GGA.

Calculated values
- size of the total moment (μB per formula unit) = 0.00
- space-group type = Pmn2_1
- DFT total energy (eV/atom) = -8.93
- E_form (uncorrected) (eV/atom) = -2.8087

The structure in POSCAR format:
```
MgTa2O6
1.0
-4.4503 0.7437 -2.6200
-0.9562 -5.4725 0.0707
-3.7293 0.7361 6.5436
O Mg Ta
12 2 4
direct
0.6838 0.0604 0.6831
0.1838 0.9396 0.8169
0.2675 0.4824 0.8078
0.6838 0.0604 0.3169
0.1838 0.9396 0.1831
0.4060 0.7155 0.5000
0.1481 0.2315 0.5000
0.6481 0.7685 0.0000
0.7675 0.5176 0.6922
0.2675 0.4824 0.1922
0.9060 0.2845 0.0000
0.7675 0.5176 0.3078
0.5346 0.3189 0.5000
0.0346 0.6811 0.0000
0.5098 0.7605 0.7476
0.0098 0.2395 0.7524
0.0098 0.2395 0.2476
0.5098 0.7605 0.2524
```

Crystalline TiCuNi2 at its relaxed geometry. Source: Alexandria, functional PBE-GGA.

Calculated values
- size of the total moment (μB per formula unit) = 0.00
- space-group type = P4/mmm
- DFT total energy (eV/atom) = -6.11
- formation enthalpy at 0 K (eV per atom) = -0.221

The structure in POSCAR format:
```
TiCuNi2
1.0
3.2354 0.0000 0.0000
0.0000 3.8980 0.0000
0.0000 0.0000 3.8980
Ti Cu Ni
1 1 2
direct
0.0000 0.0000 0.0000
0.0000 0.5000 0.5000
0.5000 0.5000 0.0000
0.5000 0.0000 0.5000
```

Crystalline Nd6IrSe5 at its relaxed geometry. Source: Alexandria, functional PBE-GGA.

Calculated values
- size of the total moment (μB per formula unit) = 0.00
- space-group type = C2/m
- DFT total energy (eV/atom) = -6.24
- E_form (uncorrected) (eV/atom) = -1.6619

The structure in POSCAR format:
```
Nd6IrSe5
1.0
7.2364 -0.1028 -1.3660
-3.9014 6.0955 -1.3660
0.1354 0.2432 7.3373
Nd Se Ir
6 5 1
direct
0.0788 0.3968 0.2388
0.7626 0.7626 0.2417
0.2374 0.2374 0.7583
0.3968 0.0788 0.2388
0.9212 0.6032 0.7612
0.6032 0.9212 0.7612
0.1735 0.8265 0.5000
0.5000 0.5000 0.5000
0.3341 0.6659 0.0000
0.6659 0.3341 0.0000
0.8265 0.1735 0.5000
0.0000 0.0000 0.0000
```

Crystalline MnMoPb2 at its relaxed geometry. Source: Alexandria, functional PBE-GGA.

Calculated values
- size of the total moment (μB per formula unit) = 1.02
- energy relative to the lowest polymorph listed for this composition (kJ/mol of formula units) = 202
- space-group type = F-43m
- DFT total energy (eV/atom) = -5.98
- formation enthalpy at 0 K (eV per atom) = 0.871

The structure in POSCAR format:
```
MnMoPb2
1.0
4.9979 0.0000 0.0000
2.4990 4.3283 0.0000
2.4990 1.4428 4.0808
Mo Pb Mn
1 2 1
direct
0.2500 0.2500 0.2500
0.0000 0.0000 0.0000
0.7500 0.7500 0.7500
0.5000 0.5000 0.5000
```

Crystalline LiSn2Sb2 at its relaxed geometry. Source: Alexandria, functional PBE-GGA.

Calculated values
- size of the total moment (μB per formula unit) = 0.00
- energy relative to the lowest polymorph listed for this composition (kJ/mol of formula units) = 0
- space-group type = P4/mbm
- DFT total energy (eV/atom) = -3.67
- E_form (uncorrected) (eV/atom) = -0.0337

The structure in POSCAR format:
```
LiSn2Sb2
1.0
8.1973 0.0000 0.0000
0.0000 8.1973 0.0000
0.0000 0.0000 4.1393
Sb Li Sn
4 2 4
direct
0.3438 0.8438 0.0000
0.8438 0.6562 0.0000
0.1562 0.3438 0.0000
0.6562 0.1562 0.0000
0.0000 0.0000 0.0000
0.5000 0.5000 0.0000
0.1466 0.6466 0.5000
0.3534 0.1466 0.5000
0.8534 0.3534 0.5000
0.6466 0.8534 0.5000
```